# MgZnPO4 (PBE, optimized geometry)
# formation energy (no corrections) = -180 kJ/mol of atoms
# uncorrected energy = -5.8853 eV/atom
data_MgZnPO4
_symmetry_space_group_name_H-M 'P 1'
_symmetry_Int_Tables_number 1
_symmetry_space_group_name_Hall 'P 1'
_cell_length_a 6.505
_cell_length_b 6.026
_cell_length_c 6.026
_cell_angle_alpha 54.35
_cell_angle_beta 57.33
_cell_angle_gamma 57.33
loop_
_atom_site_label
_atom_site_fract_x
_atom_site_fract_y
_atom_site_fract_z
Mg1 0.500 0.000 0.500
Mg2 0.000 0.000 0.500
Zn1 0.000 0.000 0.000
Zn2 0.000 0.500 0.500
P1 0.621 0.629 0.129
P2 0.379 0.371 0.871
O1 0.731 0.754 0.784
O2 0.269 0.716 0.746
O3 0.731 0.284 0.254
O4 0.269 0.246 0.216
O5 0.322 0.732 0.232
O6 0.715 0.732 0.232
O7 0.285 0.268 0.768
O8 0.678 0.268 0.768

# MgZrP2O (PBE, optimized geometry)
# formation energy (no corrections) = -59 kJ/mol of atoms
# uncorrected energy = -5.7928 eV/atom
# distance to the lowest polymorph of the same formula = 0.0 meV/atom
data_MgZrP2O
_symmetry_space_group_name_H-M 'P 1'
_symmetry_Int_Tables_number 1
_symmetry_space_group_name_Hall 'P 1'
_cell_length_a 5.201
_cell_length_b 5.201
_cell_length_c 3.982
_cell_angle_alpha 90.00
_cell_angle_beta 90.00
_cell_angle_gamma 90.00
loop_
_atom_site_label
_atom_site_fract_x
_atom_site_fract_y
_atom_site_fract_z
P1 0.000 0.500 0.000
P2 0.500 0.000 0.000
Mg1 0.500 0.500 0.500
O1 0.000 0.000 0.500
Zr1 0.000 0.000 0.000

# MgZrP2O (PBE, optimized geometry)
# formation energy (no corrections) = -20 kJ/mol of atoms
# uncorrected energy = -5.3881 eV/atom
# distance to the lowest polymorph of the same formula = 404.7 meV/atom
data_MgZrP2O
_symmetry_space_group_name_H-M 'P 1'
_symmetry_Int_Tables_number 1
_symmetry_space_group_name_Hall 'P 1'
_cell_length_a 4.818
_cell_length_b 4.818
_cell_length_c 3.677
_cell_angle_alpha 90.00
_cell_angle_beta 90.00
_cell_angle_gamma 90.00
loop_
_atom_site_label
_atom_site_fract_x
_atom_site_fract_y
_atom_site_fract_z
P1 0.000 0.500 0.000
P2 0.500 0.000 0.000
Mg1 0.000 0.000 0.000
O1 0.000 0.000 0.500
Zr1 0.500 0.500 0.500

# MgZr4P6O24 (PBE, optimized geometry)
# formation energy (no corrections) = -263 kJ/mol of atoms
# uncorrected energy = -8.0718 eV/atom
data_MgZr4P6O24
_symmetry_space_group_name_H-M 'P 1'
_symmetry_Int_Tables_number 1
_symmetry_space_group_name_Hall 'P 1'
_cell_length_a 9.006
_cell_length_b 9.058
_cell_length_c 12.650
_cell_angle_alpha 90.00
_cell_angle_beta 89.66
_cell_angle_gamma 90.00
loop_
_atom_site_label
_atom_site_fract_x
_atom_site_fract_y
_atom_site_fract_z
Mg1 0.786 0.538 0.670
Mg2 0.286 0.462 0.170
Zr1 0.255 0.721 0.617
Zr2 0.755 0.279 0.117
Zr3 0.755 0.768 0.380
Zr4 0.255 0.232 0.880
Zr5 0.749 0.725 0.895
Zr6 0.249 0.275 0.395
Zr7 0.243 0.806 0.114
Zr8 0.743 0.194 0.614
P1 0.034 0.502 0.007
P2 0.534 0.498 0.507
P3 0.968 0.002 0.992
P4 0.468 0.998 0.492
P5 0.098 0.368 0.648
P6 0.598 0.632 0.148
P7 0.893 0.132 0.357
P8 0.393 0.868 0.857
P9 0.620 0.358 0.851
P10 0.120 0.642 0.351
P11 0.390 0.166 0.141
P12 0.890 0.834 0.641
O1 0.170 0.265 0.729
O2 0.670 0.735 0.229
O3 0.809 0.216 0.270
O4 0.309 0.784 0.770
O5 0.944 0.409 0.087
O6 0.444 0.591 0.587
O7 0.082 0.088 0.926
O8 0.582 0.912 0.426
O9 0.677 0.247 0.767
O10 0.177 0.753 0.267
O11 0.344 0.268 0.236
O12 0.844 0.732 0.736
O13 0.449 0.356 0.853
O14 0.949 0.644 0.353
O15 0.558 0.155 0.132
O16 0.058 0.845 0.632
O17 0.684 0.326 0.960
O18 0.184 0.674 0.460
O19 0.319 0.252 0.048
O20 0.819 0.748 0.548
O21 0.678 0.516 0.814
O22 0.178 0.484 0.314
O23 0.325 0.010 0.155
O24 0.825 0.990 0.655
O25 0.138 0.531 0.667
O26 0.638 0.469 0.167
O27 0.870 0.963 0.348
O28 0.370 0.037 0.848
O29 0.936 0.613 0.950
O30 0.436 0.387 0.450
O31 0.048 0.890 0.065
O32 0.548 0.110 0.565
O33 0.156 0.582 0.075
O34 0.656 0.418 0.575
O35 0.860 0.917 0.919
O36 0.360 0.083 0.419
O37 0.924 0.359 0.656
O38 0.424 0.641 0.156
O39 0.060 0.167 0.347
O40 0.560 0.833 0.847
O41 0.116 0.406 0.926
O42 0.616 0.594 0.426
O43 0.876 0.104 0.063
O44 0.376 0.896 0.563
O45 0.146 0.317 0.537
O46 0.646 0.683 0.037
O47 0.837 0.183 0.467
O48 0.337 0.817 0.967

# MgPa2O (PBE, optimized geometry)
# formation energy (no corrections) = -80 kJ/mol of atoms
# uncorrected energy = -7.2120 eV/atom
data_MgPa2O
_symmetry_space_group_name_H-M 'P 1'
_symmetry_Int_Tables_number 1
_symmetry_space_group_name_Hall 'P 1'
_cell_length_a 3.171
_cell_length_b 3.171
_cell_length_c 10.020
_cell_angle_alpha 80.90
_cell_angle_beta 80.90
_cell_angle_gamma 60.00
loop_
_atom_site_label
_atom_site_fract_x
_atom_site_fract_y
_atom_site_fract_z
Mg1 0.000 0.000 0.000
Pa1 0.111 0.111 0.666
Pa2 0.889 0.889 0.334
O1 0.500 0.500 0.500

# MgPaO6 (PBE, optimized geometry)
# formation energy (no corrections) = -144 kJ/mol of atoms
# uncorrected energy = -6.6001 eV/atom
data_MgPaO6
_symmetry_space_group_name_H-M 'P 1'
_symmetry_Int_Tables_number 1
_symmetry_space_group_name_Hall 'P 1'
_cell_length_a 5.663
_cell_length_b 5.663
_cell_length_c 5.663
_cell_angle_alpha 60.00
_cell_angle_beta 60.00
_cell_angle_gamma 60.00
loop_
_atom_site_label
_atom_site_fract_x
_atom_site_fract_y
_atom_site_fract_z
Mg1 0.000 0.000 0.000
Pa1 0.500 0.500 0.500
O1 0.742 0.742 0.258
O2 0.742 0.258 0.258
O3 0.258 0.742 0.742
O4 0.258 0.258 0.742
O5 0.258 0.742 0.258
O6 0.742 0.258 0.742

# Mg5Pa3O12 (PBE, optimized geometry)
# formation energy (no corrections) = -296 kJ/mol of atoms
# uncorrected energy = -7.8685 eV/atom
data_Mg5Pa3O12
_symmetry_space_group_name_H-M 'P 1'
_symmetry_Int_Tables_number 1
_symmetry_space_group_name_Hall 'P 1'
_cell_length_a 10.877
_cell_length_b 10.877
_cell_length_c 10.877
_cell_angle_alpha 109.47
_cell_angle_beta 109.47
_cell_angle_gamma 109.47
loop_
_atom_site_label
_atom_site_fract_x
_atom_site_fract_y
_atom_site_fract_z
Pa1 0.750 0.375 0.125
Pa2 0.875 0.750 0.125
Pa3 0.375 0.750 0.625
Pa4 0.250 0.125 0.375
Pa5 0.875 0.125 0.250
Pa6 0.375 0.625 0.250
Pa7 0.625 0.375 0.750
Pa8 0.125 0.875 0.750
Pa9 0.750 0.875 0.625
Pa10 0.625 0.250 0.375
Pa11 0.125 0.250 0.875
Pa12 0.250 0.625 0.875
Mg1 0.125 0.375 0.250
Mg2 0.000 0.500 0.000
Mg3 0.000 0.000 0.000
Mg4 0.375 0.250 0.125
Mg5 0.500 0.000 0.500
Mg6 0.500 0.500 0.000
Mg7 0.125 0.750 0.375
Mg8 0.750 0.125 0.875
Mg9 0.750 0.625 0.375
Mg10 0.375 0.125 0.750
Mg11 0.625 0.875 0.250
Mg12 0.500 0.500 0.500
Mg13 0.500 0.000 0.000
Mg14 0.000 0.000 0.500
Mg15 0.250 0.375 0.625
Mg16 0.250 0.875 0.125
Mg17 0.000 0.500 0.500
Mg18 0.875 0.250 0.625
Mg19 0.625 0.750 0.875
Mg20 0.875 0.625 0.750
O1 0.717 0.133 0.041
O2 0.324 0.541 0.408
O3 0.959 0.367 0.283
O4 0.541 0.217 0.133
O5 0.584 0.717 0.676
O6 0.959 0.592 0.176
O7 0.324 0.783 0.416
O8 0.092 0.916 0.133
O9 0.592 0.959 0.676
O10 0.717 0.584 0.176
O11 0.783 0.459 0.367
O12 0.824 0.908 0.041
O13 0.133 0.717 0.541
O14 0.367 0.408 0.084
O15 0.084 0.908 0.367
O16 0.416 0.133 0.592
O17 0.084 0.176 0.217
O18 0.459 0.676 0.092
O19 0.824 0.916 0.283
O20 0.133 0.416 0.092
O21 0.367 0.959 0.783
O22 0.592 0.633 0.416
O23 0.908 0.824 0.541
O24 0.783 0.324 0.916
O25 0.408 0.367 0.584
O26 0.092 0.176 0.459
O27 0.217 0.676 0.084
O28 0.176 0.084 0.717
O29 0.633 0.041 0.217
O30 0.867 0.584 0.908
O31 0.541 0.324 0.908
O32 0.584 0.867 0.408
O33 0.916 0.824 0.783
O34 0.916 0.092 0.633
O35 0.867 0.283 0.459
O36 0.176 0.092 0.959
O37 0.633 0.592 0.916
O38 0.408 0.041 0.324
O39 0.283 0.416 0.824
O40 0.217 0.541 0.633
O41 0.908 0.084 0.867
O42 0.676 0.217 0.584
O43 0.459 0.783 0.867
O44 0.041 0.408 0.824
O45 0.416 0.283 0.324
O46 0.041 0.633 0.717
O47 0.676 0.459 0.592
O48 0.283 0.867 0.959

# MgPa2O6 (PBE, optimized geometry)
# formation energy (no corrections) = -325 kJ/mol of atoms
# uncorrected energy = -8.9601 eV/atom
data_MgPa2O6
_symmetry_space_group_name_H-M 'P 1'
_symmetry_Int_Tables_number 1
_symmetry_space_group_name_Hall 'P 1'
_cell_length_a 5.314
_cell_length_b 5.609
_cell_length_c 9.246
_cell_angle_alpha 90.05
_cell_angle_beta 90.00
_cell_angle_gamma 90.00
loop_
_atom_site_label
_atom_site_fract_x
_atom_site_fract_y
_atom_site_fract_z
Mg1 0.500 0.500 0.000
Mg2 0.000 0.000 0.500
Pa1 0.501 0.000 0.191
Pa2 0.001 0.500 0.309
Pa3 0.999 0.500 0.691
Pa4 0.499 0.000 0.809
O1 0.218 0.164 0.670
O2 0.221 0.164 0.331
O3 0.328 0.168 0.000
O4 0.828 0.332 0.500
O5 0.721 0.336 0.169
O6 0.718 0.336 0.830
O7 0.782 0.836 0.330
O8 0.779 0.836 0.669
O9 0.672 0.832 0.000
O10 0.172 0.668 0.500
O11 0.279 0.664 0.831
O12 0.282 0.664 0.170

# Mg2PaO5 (PBE, optimized geometry)
# formation energy (no corrections) = -266 kJ/mol of atoms
# uncorrected energy = -7.4463 eV/atom
data_Mg2PaO5
_symmetry_space_group_name_H-M 'P 1'
_symmetry_Int_Tables_number 1
_symmetry_space_group_name_Hall 'P 1'
_cell_length_a 5.515
_cell_length_b 7.719
_cell_length_c 10.465
_cell_angle_alpha 111.23
_cell_angle_beta 90.00
_cell_angle_gamma 90.00
loop_
_atom_site_label
_atom_site_fract_x
_atom_site_fract_y
_atom_site_fract_z
Mg1 0.509 0.094 0.871
Mg2 0.991 0.094 0.371
Mg3 0.991 0.406 0.629
Mg4 0.509 0.406 0.129
Mg5 0.491 0.594 0.871
Mg6 0.009 0.594 0.371
Mg7 0.009 0.906 0.629
Mg8 0.491 0.906 0.129
Pa1 0.500 0.000 0.500
Pa2 0.000 0.000 0.000
Pa3 0.500 0.500 0.500
Pa4 0.000 0.500 0.000
O1 0.346 0.026 0.687
O2 0.840 0.132 0.579
O3 0.154 0.026 0.187
O4 0.660 0.368 0.921
O5 0.285 0.250 0.500
O6 0.660 0.132 0.079
O7 0.154 0.474 0.813
O8 0.840 0.368 0.421
O9 0.215 0.250 0.000
O10 0.654 0.526 0.687
O11 0.346 0.474 0.313
O12 0.785 0.750 0.000
O13 0.160 0.632 0.579
O14 0.846 0.526 0.187
O15 0.340 0.868 0.921
O16 0.715 0.750 0.500
O17 0.340 0.632 0.079
O18 0.846 0.974 0.813
O19 0.160 0.868 0.421
O20 0.654 0.974 0.313

# MgPaO4 (PBE, optimized geometry)
# formation energy (no corrections) = -271 kJ/mol of atoms
# uncorrected energy = -7.9656 eV/atom
data_MgPaO4
_symmetry_space_group_name_H-M 'P 1'
_symmetry_Int_Tables_number 1
_symmetry_space_group_name_Hall 'P 1'
_cell_length_a 3.746
_cell_length_b 3.746
_cell_length_c 5.280
_cell_angle_alpha 86.28
_cell_angle_beta 86.27
_cell_angle_gamma 89.05
loop_
_atom_site_label
_atom_site_fract_x
_atom_site_fract_y
_atom_site_fract_z
Mg1 0.000 0.000 0.000
Pa1 0.500 0.500 0.500
O1 0.036 0.546 0.253
O2 0.546 0.036 0.253
O3 0.964 0.454 0.747
O4 0.454 0.964 0.747

# MgPaO2 (PBE, optimized geometry)
# formation energy (no corrections) = -235 kJ/mol of atoms
# uncorrected energy = -7.6865 eV/atom
data_MgPaO2
_symmetry_space_group_name_H-M 'P 1'
_symmetry_Int_Tables_number 1
_symmetry_space_group_name_Hall 'P 1'
_cell_length_a 3.752
_cell_length_b 3.752
_cell_length_c 6.178
_cell_angle_alpha 72.32
_cell_angle_beta 72.32
_cell_angle_gamma 60.00
loop_
_atom_site_label
_atom_site_fract_x
_atom_site_fract_y
_atom_site_fract_z
Mg1 0.000 0.000 0.000
Pa1 0.500 0.500 0.500
O1 0.120 0.120 0.641
O2 0.880 0.880 0.359

# Mg4Pa2O9 (PBE, optimized geometry)
# formation energy (no corrections) = -294 kJ/mol of atoms
# uncorrected energy = -7.7082 eV/atom
data_Mg4Pa2O9
_symmetry_space_group_name_H-M 'P 1'
_symmetry_Int_Tables_number 1
_symmetry_space_group_name_Hall 'P 1'
_cell_length_a 5.416
_cell_length_b 5.415
_cell_length_c 14.759
_cell_angle_alpha 90.00
_cell_angle_beta 90.00
_cell_angle_gamma 59.99
loop_
_atom_site_label
_atom_site_fract_x
_atom_site_fract_y
_atom_site_fract_z
Mg1 0.333 0.333 0.986
Mg2 0.333 0.333 0.486
Mg3 0.667 0.667 0.014
Mg4 0.333 0.333 0.188
Mg5 0.667 0.667 0.514
Mg6 0.666 0.667 0.312
Mg7 0.334 0.333 0.688
Mg8 0.667 0.667 0.812
Pa1 0.000 0.000 0.362
Pa2 0.000 0.000 0.138
Pa3 0.000 0.000 0.638
Pa4 0.000 0.000 0.862
O1 0.000 0.297 0.750
O2 0.298 0.702 0.750
O3 0.703 0.000 0.750
O4 0.000 0.703 0.250
O5 0.702 0.298 0.250
O6 0.297 0.000 0.250
O7 0.654 0.973 0.418
O8 0.973 0.373 0.418
O9 0.373 0.654 0.418
O10 0.627 0.027 0.082
O11 0.346 0.627 0.082
O12 0.027 0.346 0.082
O13 0.346 0.027 0.582
O14 0.027 0.627 0.582
O15 0.627 0.346 0.582
O16 0.373 0.973 0.918
O17 0.654 0.373 0.918
O18 0.973 0.654 0.918

# Mg3Pa2O8 (PBE, optimized geometry)
# formation energy (no corrections) = -296 kJ/mol of atoms
# uncorrected energy = -7.9473 eV/atom
data_Mg3Pa2O8
_symmetry_space_group_name_H-M 'P 1'
_symmetry_Int_Tables_number 1
_symmetry_space_group_name_Hall 'P 1'
_cell_length_a 5.008
_cell_length_b 6.485
_cell_length_c 6.485
_cell_angle_alpha 64.02
_cell_angle_beta 71.96
_cell_angle_gamma 71.96
loop_
_atom_site_label
_atom_site_fract_x
_atom_site_fract_y
_atom_site_fract_z
Mg1 0.500 0.000 0.000
Mg2 0.000 0.255 0.745
Mg3 0.000 0.745 0.255
Pa1 0.897 0.268 0.268
Pa2 0.103 0.732 0.732
O1 0.834 0.625 0.625
O2 0.166 0.375 0.375
O3 0.756 0.111 0.111
O4 0.244 0.889 0.889
O5 0.785 0.661 0.084
O6 0.785 0.084 0.661
O7 0.215 0.916 0.339
O8 0.215 0.339 0.916

# Mg3PaO6 (PBE, optimized geometry)
# formation energy (no corrections) = -265 kJ/mol of atoms
# uncorrected energy = -7.1456 eV/atom
data_Mg3PaO6
_symmetry_space_group_name_H-M 'P 1'
_symmetry_Int_Tables_number 1
_symmetry_space_group_name_Hall 'P 1'
_cell_length_a 5.383
_cell_length_b 5.383
_cell_length_c 5.720
_cell_angle_alpha 61.93
_cell_angle_beta 61.93
_cell_angle_gamma 60.00
loop_
_atom_site_label
_atom_site_fract_x
_atom_site_fract_y
_atom_site_fract_z
Mg1 0.355 0.355 0.936
Mg2 0.645 0.645 0.065
Mg3 0.144 0.144 0.569
Pa1 0.853 0.853 0.442
O1 0.948 0.540 0.250
O2 0.262 0.948 0.250
O3 0.540 0.262 0.250
O4 0.051 0.449 0.746
O5 0.754 0.051 0.746
O6 0.449 0.754 0.746

# MgPaPb2O8 (PBE, optimized geometry)
# formation energy (no corrections) = -154 kJ/mol of atoms
# uncorrected energy = -6.4457 eV/atom
data_MgPaPb2O8
_symmetry_space_group_name_H-M 'P 1'
_symmetry_Int_Tables_number 1
_symmetry_space_group_name_Hall 'P 1'
_cell_length_a 6.194
_cell_length_b 6.194
_cell_length_c 6.194
_cell_angle_alpha 110.63
_cell_angle_beta 110.63
_cell_angle_gamma 107.18
loop_
_atom_site_label
_atom_site_fract_x
_atom_site_fract_y
_atom_site_fract_z
Mg1 0.000 0.000 0.000
Pa1 0.250 0.750 0.500
Pb1 0.750 0.250 0.500
Pb2 0.500 0.500 0.000
O1 0.337 0.034 0.302
O2 0.296 0.496 0.199
O3 0.296 0.097 0.801
O4 0.732 0.034 0.698
O5 0.903 0.704 0.199
O6 0.966 0.268 0.302
O7 0.966 0.663 0.698
O8 0.504 0.704 0.801